1.
The following is a DFT calculation (PBEsol) of a relaxed CrNi2P crystal.

a b c (Å): 4.707 7.202 2.553
angles (deg): 90.00 90.00 90.00
Space group Cmmm (No. 65)
Symmetry-distinct sites (fractional):
Cr (0.000, 0.000, 0.000) [2 per cell]
Ni (0.250, 0.250, 0.500) [4 per cell]
P (0.000, 0.500, 0.000) [2 per cell]

Results
For the total energy, the calculation gives -7.1566 eV per atom. The calculation puts the density of states at the Fermi level at 3.7 states/eV/f.u. The formation enthalpy at 0 K comes out at -0.069 eV per atom.


2.
The following is a DFT calculation (PBEsol) of a relaxed Cr2NiP crystal.

a b c (Å): 2.597 3.683 4.702
angles (deg): 90.00 104.91 90.00
Space group Pm (No. 6)
Symmetry-distinct sites (fractional):
Cr (0.000, 0.000, 0.000) [1 per cell]
Cr (0.326, 0.500, 0.715) [1 per cell]
Ni (0.612, 0.500, 0.238) [1 per cell]
P (0.727, 0.000, 0.493) [1 per cell]

Results
For the total energy, the calculation gives -8.3200 eV per atom. The calculation puts the density of states at the Fermi level at 3.4 states/eV/f.u. The formation enthalpy at 0 K comes out at -0.212 eV per atom.


3.
The following is a DFT calculation (PBEsol) of a relaxed CrNiP crystal.

a b c (Å): 5.243 5.243 5.243
angles (deg): 90.00 90.00 90.00
Space group F-43m (No. 216)
Symmetry-distinct sites (fractional):
Cr (0.000, 0.000, 0.000) [4 per cell]
Ni (0.000, 0.000, 0.500) [4 per cell]
P (0.250, 0.250, 0.750) [4 per cell]

Results
For the total energy, the calculation gives -7.7703 eV per atom. The calculation puts the density of states at the Fermi level at 2.7 states/eV/f.u. The formation enthalpy at 0 K comes out at -0.373 eV per atom.


4.
The following is a DFT calculation (PBEsol) of a relaxed CrNi2P crystal.

a b c (Å): 2.739 2.739 5.700
angles (deg): 90.00 90.00 90.00
Space group P4mm (No. 99)
Symmetry-distinct sites (fractional):
Cr (0.000, 0.000, 0.000) [1 per cell]
Ni (0.000, 0.000, 0.546) [1 per cell]
Ni (0.500, 0.500, 0.265) [1 per cell]
P (0.500, 0.500, 0.769) [1 per cell]

Results
For the total energy, the calculation gives -7.2313 eV per atom. The calculation puts the density of states at the Fermi level at 4.9 states/eV/f.u. The formation enthalpy at 0 K comes out at -0.144 eV per atom.


5.
The following is a DFT calculation (PBEsol) of a relaxed CrNiP crystal.

a b c (Å): 5.6895 5.6895 3.4919
angles (deg): 90.00 90.00 120.00
Space group P-62m (No. 189)
Symmetry-distinct sites (fractional):
Cr (0.0000, 0.4101, 0.0000) [3 per cell]
Ni (0.0000, 0.7457, 0.5000) [3 per cell]
P (0.0000, 0.0000, 0.0000) [1 per cell]
P (0.3333, 0.6667, 0.5000) [2 per cell]

Results
For the total energy, the calculation gives -7.9660 eV per atom. The calculation puts the density of states at the Fermi level at 2.5 states/eV/f.u. The formation enthalpy at 0 K comes out at -0.569 eV per atom.


6.
The following is a DFT calculation (PBEsol) of a relaxed CrNiP crystal.

a b c (Å): 5.603 3.496 6.688
angles (deg): 90.00 90.00 90.00
Space group Pnma (No. 62)
Symmetry-distinct sites (fractional):
Cr (0.026, 0.250, 0.170) [4 per cell]
Ni (0.145, 0.250, 0.565) [4 per cell]
P (0.244, 0.750, 0.376) [4 per cell]

Results
For the total energy, the calculation gives -7.9642 eV per atom. The calculation puts the density of states at the Fermi level at 2.9 states/eV/f.u. The formation enthalpy at 0 K comes out at -0.567 eV per atom.


7.
The following is a DFT calculation (PBEsol) of a relaxed CrNi2P crystal.

a b c (Å): 3.435 3.435 3.620
angles (deg): 90.00 90.00 90.00
Space group P4/mmm (No. 123)
Symmetry-distinct sites (fractional):
Cr (0.000, 0.000, 0.000) [1 per cell]
Ni (0.000, 0.500, 0.500) [2 per cell]
P (0.500, 0.500, 0.000) [1 per cell]

Results
For the total energy, the calculation gives -7.3544 eV per atom. The calculation puts the density of states at the Fermi level at 2.9 states/eV/f.u. The formation enthalpy at 0 K comes out at -0.267 eV per atom.


8.
The following is a DFT calculation (PBEsol) of a relaxed CrNi2P crystal.

a b c (Å): 8.501 2.536 4.351
angles (deg): 90.00 113.20 90.00
Space group Cm (No. 8)
Symmetry-distinct sites (fractional):
Cr (0.000, 0.000, 0.000) [2 per cell]
Ni (0.218, 0.000, 0.647) [2 per cell]
Ni (0.449, 0.000, 0.463) [2 per cell]
P (0.245, 0.500, 0.096) [2 per cell]

Results
For the total energy, the calculation gives -7.2915 eV per atom. The calculation puts the density of states at the Fermi level at 3.0 states/eV/f.u. The formation enthalpy at 0 K comes out at -0.204 eV per atom.


9.
The following is a DFT calculation (PBEsol) of a relaxed CrNiP crystal.

a b c (Å): 2.784 2.784 8.468
angles (deg): 90.00 90.00 90.00
Space group I4mm (No. 107)
Symmetry-distinct sites (fractional):
Cr (0.000, 0.000, 0.000) [2 per cell]
Ni (0.000, 0.000, 0.698) [2 per cell]
P (0.000, 0.000, 0.355) [2 per cell]

Results
For the total energy, the calculation gives -7.5480 eV per atom. The calculation puts the density of states at the Fermi level at 3.0 states/eV/f.u. The formation enthalpy at 0 K comes out at -0.151 eV per atom.


10.
The following is a DFT calculation (PBEsol) of a relaxed Cr2NiP crystal.

a b c (Å): 4.582 7.229 2.602
angles (deg): 90.00 90.00 90.00
Space group Cmmm (No. 65)
Symmetry-distinct sites (fractional):
Cr (0.250, 0.250, 0.000) [4 per cell]
Ni (0.000, 0.000, 0.500) [2 per cell]
P (0.000, 0.500, 0.500) [2 per cell]

Results
For the total energy, the calculation gives -8.2392 eV per atom. The calculation puts the density of states at the Fermi level at 4.1 states/eV/f.u. The formation enthalpy at 0 K comes out at -0.131 eV per atom.


11.
The following is a DFT calculation (PBEsol) of a relaxed Rb2CrNiP crystal.

a b c (Å): 6.405 6.405 4.085
angles (deg): 90.00 90.00 90.00
Space group P4/mmm (No. 123)
Symmetry-distinct sites (fractional):
Rb (0.000, 0.500, 0.000) [2 per cell]
Cr (0.000, 0.000, 0.500) [1 per cell]
Ni (0.500, 0.500, 0.000) [1 per cell]
P (0.500, 0.500, 0.500) [1 per cell]

Results
For the total energy, the calculation gives -4.2260 eV per atom. The calculation puts the density of states at the Fermi level at 2.2 states/eV/f.u. The formation enthalpy at 0 K comes out at 0.622 eV per atom.


12.
The following is a DFT calculation (PBEsol) of a relaxed CrNi2TeP crystal.

a b c (Å): 4.407 4.407 4.220
angles (deg): 90.00 90.00 90.00
Space group P4/mmm (No. 123)
Symmetry-distinct sites (fractional):
Cr (0.000, 0.000, 0.000) [1 per cell]
Ni (0.000, 0.500, 0.000) [2 per cell]
Te (0.500, 0.500, 0.500) [1 per cell]
P (0.000, 0.000, 0.500) [1 per cell]

Results
For the total energy, the calculation gives -5.5762 eV per atom. For the formation energy without anion corrections, the calculation gives 0.80 eV/atom. The calculation puts the density of states at the Fermi level at 5.8 states/eV/f.u.


Copy entry 7 word for word.
The following is a DFT calculation (PBEsol) of a relaxed CrNi2P crystal.

a b c (Å): 3.435 3.435 3.620
angles (deg): 90.00 90.00 90.00
Space group P4/mmm (No. 123)
Symmetry-distinct sites (fractional):
Cr (0.000, 0.000, 0.000) [1 per cell]
Ni (0.000, 0.500, 0.500) [2 per cell]
P (0.500, 0.500, 0.000) [1 per cell]

Results
For the total energy, the calculation gives -7.3544 eV per atom. The calculation puts the density of states at the Fermi level at 2.9 states/eV/f.u. The formation enthalpy at 0 K comes out at -0.267 eV per atom.


What did the tenth record say?
The following is a DFT calculation (PBEsol) of a relaxed Cr2NiP crystal.

a b c (Å): 4.582 7.229 2.602
angles (deg): 90.00 90.00 90.00
Space group Cmmm (No. 65)
Symmetry-distinct sites (fractional):
Cr (0.250, 0.250, 0.000) [4 per cell]
Ni (0.000, 0.000, 0.500) [2 per cell]
P (0.000, 0.500, 0.500) [2 per cell]

Results
For the total energy, the calculation gives -8.2392 eV per atom. The calculation puts the density of states at the Fermi level at 4.1 states/eV/f.u. The formation enthalpy at 0 K comes out at -0.131 eV per atom.


Number 9 is which compound? CrNiP